# Ce2NpPdN5 (PBE, relaxed)
data_Ce2NpPdN5
_cell_length_a 3.4964
_cell_length_b 13.1377
_cell_length_c 10.8132
_cell_angle_alpha 90.00
_cell_angle_beta 90.00
_cell_angle_gamma 90.00
_symmetry_space_group_name_H-M 'C m c 21'
_symmetry_Int_Tables_number 36
loop_
_symmetry_equiv_pos_as_xyz
'x,y,z'
'-x,-y,z+1/2'
'-x,y,z'
'x,-y,z+1/2'
'x+1/2,y+1/2,z'
'-x+1/2,-y+1/2,z+1/2'
'-x+1/2,y+1/2,z'
'x+1/2,-y+1/2,z+1/2'
loop_
_atom_site_label
_atom_site_fract_x
_atom_site_fract_y
_atom_site_fract_z
Ce1 0.0000 0.0953 0.0000
Ce2 0.0000 0.1421 0.6143
Np1 0.0000 0.2075 0.3309
Pd1 0.0000 0.4774 0.7614
N1 0.0000 0.0628 0.3920
N2 0.0000 0.2698 0.9680
N3 0.0000 0.3208 0.6992
N4 0.0000 0.3636 0.3064
N5 0.0000 0.4834 0.0787
# magnetization: 2.0 μB per formula unit
# electronic total energy: -8.8230 eV per atom